# 1
# CaMn2BeC

An optimized crystal structure of CaMn2BeC (PBE-GGA, the Alexandria database).

The structure in POSCAR format:
```
CaMn2BeC
1.0
-0.076 0.638 -4.503
-1.347 -3.131 -0.421
-4.183 1.757 0.320
Be Ca Mn C
1 1 2 1
direct
0.000 0.000 0.000
0.500 0.500 0.500
0.000 0.000 0.500
0.500 0.000 0.000
0.000 0.500 0.000
```

Results
The value obtained for the formation energy is 0.995 eV per atom. The crystal system is tetragonal. Its space-group type is P4/mmm. The calculation puts the density of states at the Fermi level at 2.91 states/eV/cell. The total moment comes out at 6.5 Bohr magnetons per cell. As for the electronic total energy: -5.663 eV/atom.



# 2
# CuHgSe2

An optimized crystal structure of CuHgSe2 (PBE-GGA, the Alexandria database).

The structure in POSCAR format:
```
CuHgSe2
1.0
-1.947 -6.739 -0.100
0.222 -6.260 -3.159
1.820 -6.772 0.230
Cu Hg Se
1 1 2
direct
0.250 0.250 0.250
0.750 0.750 0.750
0.984 0.984 0.984
0.516 0.516 0.516
```

Results
The crystal system is trigonal. Its space-group type is R-3m. The calculation puts the density of states at the Fermi level at 2.66 states/eV/cell. The total moment comes out at 0.0 Bohr magnetons per cell. As for the electronic total energy: -2.875 eV/atom.